{"formula": "LiTh2As4Rh3", "functional": "PBE", "state": "optimized geometry", "lattice_angstrom": [[4.3399, 0.0000, 0.0000], [0.0000, 4.3399, 0.0000], [0.0000, 0.0000, 9.9109]], "species": ["Li", "Th", "Th", "As", "As", "As", "As", "Rh", "Rh", "Rh"], "frac_coords": [[0.0000, 0.0000, 0.0000], [0.0000, 0.5000, 0.7469], [0.5000, 0.0000, 0.2531], [0.0000, 0.0000, 0.5000], [0.0000, 0.5000, 0.1338], [0.5000, 0.0000, 0.8662], [0.5000, 0.5000, 0.5000], [0.0000, 0.5000, 0.3823], [0.5000, 0.0000, 0.6177], [0.5000, 0.5000, 0.0000]], "magnetic_moment_mub_per_atom": 0.00, "formation_enthalpy_0k_mev_per_atom": -928.6, "mass_density_kg_m3": 9602}



{"formula": "LiTiAsRh", "functional": "PBE", "state": "optimized geometry", "lattice_angstrom": [[6.1311, 0.0000, 0.0000], [0.0000, 6.1311, 0.0000], [0.0000, 0.0000, 6.1311]], "species": ["Li", "Li", "Li", "Li", "Ti", "Ti", "Ti", "Ti", "As", "As", "As", "As", "Rh", "Rh", "Rh", "Rh"], "frac_coords": [[0.0000, 0.0000, 0.0000], [0.0000, 0.5000, 0.5000], [0.5000, 0.0000, 0.5000], [0.5000, 0.5000, 0.0000], [0.0000, 0.0000, 0.5000], [0.0000, 0.5000, 0.0000], [0.5000, 0.0000, 0.0000], [0.5000, 0.5000, 0.5000], [0.2500, 0.2500, 0.2500], [0.2500, 0.7500, 0.7500], [0.7500, 0.2500, 0.7500], [0.7500, 0.7500, 0.2500], [0.2500, 0.2500, 0.7500], [0.2500, 0.7500, 0.2500], [0.7500, 0.2500, 0.2500], [0.7500, 0.7500, 0.7500]], "magnetic_moment_mub_per_atom": 0.00, "formation_enthalpy_0k_mev_per_atom": -606.5, "mass_density_kg_m3": 6705}



{"formula": "LiTmAsRh", "functional": "PBE", "state": "optimized geometry", "lattice_angstrom": [[6.3847, 0.0000, 0.0000], [0.0000, 6.3847, 0.0000], [0.0000, 0.0000, 6.3847]], "species": ["Li", "Li", "Li", "Li", "Tm", "Tm", "Tm", "Tm", "As", "As", "As", "As", "Rh", "Rh", "Rh", "Rh"], "frac_coords": [[0.0000, 0.0000, 0.0000], [0.0000, 0.5000, 0.5000], [0.5000, 0.0000, 0.5000], [0.5000, 0.5000, 0.0000], [0.2500, 0.2500, 0.7500], [0.2500, 0.7500, 0.2500], [0.7500, 0.2500, 0.2500], [0.7500, 0.7500, 0.7500], [0.2500, 0.2500, 0.2500], [0.2500, 0.7500, 0.7500], [0.7500, 0.2500, 0.7500], [0.7500, 0.7500, 0.2500], [0.0000, 0.0000, 0.5000], [0.0000, 0.5000, 0.0000], [0.5000, 0.0000, 0.0000], [0.5000, 0.5000, 0.5000]], "magnetic_moment_mub_per_atom": 0.00, "formation_enthalpy_0k_mev_per_atom": -795.2, "mass_density_kg_m3": 9027}



{"formula": "LiTmAs2Rh5", "functional": "PBE", "state": "optimized geometry", "lattice_angstrom": [[4.0325, 0.0000, 0.0000], [0.0000, 4.0325, 0.0000], [0.0000, 0.0000, 11.7068]], "species": ["Li", "Tm", "As", "As", "Rh", "Rh", "Rh", "Rh", "Rh"], "frac_coords": [[0.0000, 0.0000, 0.0000], [0.5000, 0.5000, 0.5000], [0.0000, 0.0000, 0.2105], [0.0000, 0.0000, 0.7895], [0.0000, 0.0000, 0.5000], [0.0000, 0.5000, 0.3246], [0.0000, 0.5000, 0.6754], [0.5000, 0.0000, 0.3246], [0.5000, 0.0000, 0.6754]], "magnetic_moment_mub_per_atom": 0.00, "formation_enthalpy_0k_mev_per_atom": -405.9, "mass_density_kg_m3": 7329}



{"formula": "LiZnAsRh", "functional": "PBE", "state": "optimized geometry", "lattice_angstrom": [[6.1029, 0.0000, 0.0000], [0.0000, 6.1029, 0.0000], [0.0000, 0.0000, 6.1029]], "species": ["Li", "Li", "Li", "Li", "Zn", "Zn", "Zn", "Zn", "As", "As", "As", "As", "Rh", "Rh", "Rh", "Rh"], "frac_coords": [[0.0000, 0.0000, 0.0000], [0.0000, 0.5000, 0.5000], [0.5000, 0.0000, 0.5000], [0.5000, 0.5000, 0.0000], [0.2500, 0.2500, 0.7500], [0.2500, 0.7500, 0.2500], [0.7500, 0.2500, 0.2500], [0.7500, 0.7500, 0.7500], [0.2500, 0.2500, 0.2500], [0.2500, 0.7500, 0.7500], [0.7500, 0.2500, 0.7500], [0.7500, 0.7500, 0.2500], [0.0000, 0.0000, 0.5000], [0.0000, 0.5000, 0.0000], [0.5000, 0.0000, 0.0000], [0.5000, 0.5000, 0.5000]], "magnetic_moment_mub_per_atom": 0.00, "formation_enthalpy_0k_mev_per_atom": -413.6, "mass_density_kg_m3": 7310}



{"formula": "LiAsRu2", "functional": "PBE", "state": "optimized geometry", "lattice_angstrom": [[3.0444, 0.0000, 0.0000], [0.0000, 4.1177, 0.0000], [0.0000, 0.0000, 8.6238]], "species": ["Li", "Li", "As", "As", "Ru", "Ru", "Ru", "Ru"], "frac_coords": [[0.0000, 0.0000, 0.0000], [0.5000, 0.5000, 0.5000], [0.0000, 0.5000, 0.7500], [0.5000, 0.0000, 0.2500], [0.0000, 0.0000, 0.4834], [0.0000, 0.5000, 0.2412], [0.5000, 0.0000, 0.7412], [0.5000, 0.5000, 0.9834]], "magnetic_moment_mub_per_atom": 0.00, "formation_enthalpy_0k_mev_per_atom": 4.6, "mass_density_kg_m3": 8725}



{"formula": "LiAsRu2", "functional": "PBE", "state": "optimized geometry", "lattice_angstrom": [[5.5029, 0.0000, 0.0000], [0.0000, 8.1733, 0.0000], [-1.3000, 0.0000, 2.4744]], "species": ["Li", "Li", "As", "As", "Ru", "Ru", "Ru", "Ru"], "frac_coords": [[0.0000, 0.0000, 0.0000], [0.5000, 0.5000, 0.0000], [0.0000, 0.5000, 0.0000], [0.5000, 0.0000, 0.0000], [0.2500, 0.2500, 0.5000], [0.2500, 0.7500, 0.5000], [0.7500, 0.2500, 0.5000], [0.7500, 0.7500, 0.5000]], "magnetic_moment_mub_per_atom": 0.00, "formation_enthalpy_0k_mev_per_atom": 89.7, "mass_density_kg_m3": 8475}



{"formula": "LiAsRu2", "functional": "PBE", "state": "optimized geometry", "lattice_angstrom": [[2.9654, 0.0000, 0.0000], [0.0000, 4.1642, 0.0000], [0.0000, 0.0000, 4.5339]], "species": ["Li", "As", "Ru", "Ru"], "frac_coords": [[0.0000, 0.0000, 0.0000], [0.5000, 0.0000, 0.5000], [0.0000, 0.5000, 0.5000], [0.5000, 0.5000, 0.0000]], "magnetic_moment_mub_per_atom": 0.25, "formation_enthalpy_0k_mev_per_atom": 164.9, "mass_density_kg_m3": 8423}



{"formula": "LiAsRu2", "functional": "PBE", "state": "optimized geometry", "lattice_angstrom": [[2.9067, 0.0000, 0.0000], [0.0000, 3.7961, 0.0000], [-1.1096, 0.0000, 5.1572]], "species": ["Li", "As", "Ru", "Ru"], "frac_coords": [[0.0000, 0.0000, 0.0000], [0.0000, 0.0000, 0.5000], [0.3584, 0.5000, 0.7420], [0.6416, 0.5000, 0.2580]], "magnetic_moment_mub_per_atom": 0.00, "formation_enthalpy_0k_mev_per_atom": 45.7, "mass_density_kg_m3": 8288}



{"formula": "LiAsRu2", "functional": "PBE", "state": "optimized geometry", "lattice_angstrom": [[7.3574, 0.0000, 0.0000], [0.0000, 7.3574, 0.0000], [0.0000, 0.0000, 4.8439]], "species": ["Li", "Li", "Li", "Li", "As", "As", "As", "As", "Ru", "Ru", "Ru", "Ru", "Ru", "Ru", "Ru", "Ru"], "frac_coords": [[0.0000, 0.0000, 0.0000], [0.0000, 0.5000, 0.2500], [0.5000, 0.0000, 0.7500], [0.5000, 0.5000, 0.5000], [0.0000, 0.0000, 0.5000], [0.0000, 0.5000, 0.7500], [0.5000, 0.0000, 0.2500], [0.5000, 0.5000, 0.0000], [0.1803, 0.2500, 0.6250], [0.2500, 0.6803, 0.8750], [0.2500, 0.8197, 0.3750], [0.3197, 0.2500, 0.1250], [0.6803, 0.7500, 0.1250], [0.7500, 0.1803, 0.3750], [0.7500, 0.3197, 0.8750], [0.8197, 0.7500, 0.6250]], "magnetic_moment_mub_per_atom": 0.00, "formation_enthalpy_0k_mev_per_atom": 253.7, "mass_density_kg_m3": 7194}



{"formula": "LiAsRu2", "functional": "PBE", "state": "optimized geometry", "lattice_angstrom": [[9.8076, 0.0000, 0.0000], [0.0000, 2.9451, 0.0000], [-1.9755, 0.0000, 4.0033]], "species": ["Li", "Li", "As", "As", "Ru", "Ru", "Ru", "Ru"], "frac_coords": [[0.0000, 0.0000, 0.0000], [0.5000, 0.5000, 0.0000], [0.0000, 0.5000, 0.5000], [0.5000, 0.0000, 0.5000], [0.2166, 0.0000, 0.7172], [0.2834, 0.5000, 0.2828], [0.7166, 0.5000, 0.7172], [0.7834, 0.0000, 0.2828]], "magnetic_moment_mub_per_atom": 0.00, "formation_enthalpy_0k_mev_per_atom": -20.2, "mass_density_kg_m3": 8157}



{"formula": "LiAs2Ru2", "functional": "PBE", "state": "optimized geometry", "lattice_angstrom": [[7.2012, 0.0000, 0.0000], [0.0000, 7.2012, 0.0000], [0.0000, 0.0000, 2.9249]], "species": ["Li", "Li", "As", "As", "As", "As", "Ru", "Ru", "Ru", "Ru"], "frac_coords": [[0.0000, 0.0000, 0.0000], [0.5000, 0.5000, 0.0000], [0.1532, 0.3468, 0.0000], [0.3468, 0.8468, 0.0000], [0.6532, 0.1532, 0.0000], [0.8468, 0.6532, 0.0000], [0.1431, 0.6431, 0.5000], [0.3569, 0.1431, 0.5000], [0.6431, 0.8569, 0.5000], [0.8569, 0.3569, 0.5000]], "magnetic_moment_mub_per_atom": 0.00, "formation_enthalpy_0k_mev_per_atom": -218.4, "mass_density_kg_m3": 7859}



{"formula": "LiAsRu2", "functional": "PBE", "state": "optimized geometry", "lattice_angstrom": [[2.8363, 0.0000, 0.0000], [0.0000, 2.8363, 0.0000], [0.0000, 0.0000, 7.5865]], "species": ["Li", "As", "Ru", "Ru"], "frac_coords": [[0.0000, 0.0000, 0.0000], [0.5000, 0.5000, 0.7084], [0.0000, 0.0000, 0.4877], [0.5000, 0.5000, 0.2619]], "magnetic_moment_mub_per_atom": 0.00, "formation_enthalpy_0k_mev_per_atom": 34.7, "mass_density_kg_m3": 7727}



{"formula": "Li3AsRu", "functional": "PBE", "state": "optimized geometry", "lattice_angstrom": [[4.5721, 0.0000, 0.0000], [0.0000, 4.5721, 0.0000], [0.0000, 0.0000, 4.5721]], "species": ["Li", "Li", "Li", "As", "Ru"], "frac_coords": [[0.0000, 0.0000, 0.5000], [0.0000, 0.5000, 0.0000], [0.5000, 0.0000, 0.0000], [0.0000, 0.0000, 0.0000], [0.5000, 0.5000, 0.5000]], "magnetic_moment_mub_per_atom": 0.46, "e_above_lowest_polymorph_mev_per_atom": 0.0, "formation_enthalpy_0k_mev_per_atom": 543.2, "mass_density_kg_m3": 3420}